Entry 1:
DFT (GGA-PBE) results for a relaxed structure of KBaSr2S.

Output
**Formation energy (no corrections)**: -0.674 eV per atom

Unit cell a=6.077 b=6.077 c=6.536 alpha=90.00 beta=90.00 gamma=90.00
Space group P4/mmm (No. 123)
Unique sites:
K1 0.000 0.000 0.000 x1
Ba1 0.500 0.500 0.000 x1
Sr1 0.000 0.500 0.500 x2
S1 0.500 0.500 0.500 x1

Entry 2:
DFT (GGA-PBE) results for a relaxed structure of IrRu.

Output
**Calculated formation energy**: 252 kJ/mol of formula units
**Excess energy over the best structure of this formula in the dataset**: 131.3 kJ/mol of atoms

Unit cell a=8.372 b=9.937 c=10.356 alpha=90.00 beta=90.00 gamma=90.00
Space group Fddd (No. 70, origin choice 2)
Unique sites:
Ir1 0.125 0.296 0.125 x16
Ru1 0.125 0.125 0.287 x16

Entry 3:
DFT (GGA-PBE) results for a relaxed structure of ZrCd3Au4.

Output
**Calculated formation energy**: -224 kJ/mol of formula units

Unit cell a=3.272 b=3.272 c=14.736 alpha=90.00 beta=90.00 gamma=90.00
Space group P4/mmm (No. 123)
Unique sites:
Zr1 0.000 0.000 0.000 x1
Cd1 0.000 0.000 0.251 x2
Cd2 0.000 0.000 0.500 x1
Au1 0.500 0.500 0.124 x2
Au2 0.500 0.500 0.376 x2

Entry 4:
DFT (GGA-PBE) results for a relaxed structure of KZrAs2S8.

Output
**Formation energy (no corrections)**: -0.407 eV per atom

Unit cell a=6.2512 b=6.2512 c=9.0439 alpha=90.00 beta=90.00 gamma=120.00
Space group P-3 (No. 147)
Unique sites:
K1 0.0000 0.0000 0.0000 x1
Zr1 0.0000 0.0000 0.5000 x1
As1 0.3333 0.6667 0.7309 x2
S1 0.0134 0.6721 0.3336 x6
S2 0.3333 0.6667 0.9703 x2

Entry 5:
DFT (GGA-PBE) results for a relaxed structure of PrNd5Er6.

Output
**Calculated formation energy**: 21 kJ/mol of formula units

Unit cell a=5.125 b=10.036 c=15.325 alpha=90.00 beta=90.00 gamma=90.00
Space group Immm (No. 71)
Unique sites:
Pr1 0.000 0.000 0.000 x2
Nd1 0.000 0.000 0.333 x4
Nd2 0.000 0.500 0.000 x2
Nd3 0.000 0.500 0.333 x4
Er1 0.000 0.249 0.500 x4
Er2 0.000 0.250 0.167 x8

Entry 6:
DFT (GGA-PBE) results for a relaxed structure of AlCu8Au4.

Output
**Calculated formation energy**: 1 kJ/mol of formula units

Unit cell a=3.581 b=3.803 c=13.892 alpha=90.00 beta=90.00 gamma=90.00
Space group Pmm2 (No. 25)
Unique sites:
Al1 0.000 0.000 0.000 x1
Cu1 0.000 0.000 0.168 x1
Cu2 0.000 0.000 0.436 x1
Cu3 0.000 0.500 0.580 x1
Cu4 0.000 0.500 0.878 x1
Cu5 0.500 0.000 0.304 x1
Cu6 0.500 0.000 0.875 x1
Cu7 0.500 0.500 0.438 x1
Cu8 0.500 0.500 0.730 x1
Au1 0.000 0.000 0.736 x1
Au2 0.000 0.500 0.294 x1
Au3 0.500 0.000 0.576 x1
Au4 0.500 0.500 0.068 x1

Entry 7:
DFT (GGA-PBE) results for a relaxed structure of NaUN2.

Output
**Excess energy over the best structure of this formula in the dataset**: 0.0 kJ/mol of atoms
**Formation energy (no corrections)**: -1.026 eV per atom

Unit cell a=3.5166 b=3.5166 c=17.0372 alpha=90.00 beta=90.00 gamma=120.00
Space group R-3m (No. 166, hexagonal axes)
Unique sites:
Na1 0.0000 0.0000 0.0000 x3
U1 0.0000 0.0000 0.5000 x3
N1 0.0000 0.0000 0.2269 x6

Entry 8:
DFT (GGA-PBE) results for a relaxed structure of Zr2TaCl.

Output
**Excess energy over the best structure of this formula in the dataset**: 77.4 kJ/mol of atoms
**Formation energy (no corrections)**: 0.387 eV per atom

Unit cell a=6.871 b=6.871 c=6.871 alpha=90.00 beta=90.00 gamma=90.00
Space group Fm-3m (No. 225)
Unique sites:
Zr1 0.250 0.250 0.250 x8
Ta1 0.000 0.000 0.000 x4
Cl1 0.000 0.000 0.500 x4

Entry 9:
DFT (GGA-PBE) results for a relaxed structure of Cr5Se.

Output
**Excess energy over the best structure of this formula in the dataset**: 33.5 kJ/mol of atoms
**Formation energy (no corrections)**: 0.504 eV per atom

Unit cell a=6.766 b=6.766 c=6.766 alpha=90.00 beta=90.00 gamma=90.00
Space group F-43m (No. 216)
Unique sites:
Cr1 0.000 0.000 0.000 x4
Cr2 0.125 0.125 0.625 x16
Se1 0.250 0.250 0.250 x4

Entry 10:
DFT (GGA-PBE) results for a relaxed structure of TlHCl.

Output
**Excess energy over the best structure of this formula in the dataset**: 3.3 kJ/mol of atoms

Unit cell a=4.587 b=5.916 c=6.397 alpha=80.66 beta=69.13 gamma=67.21
Space group P-1 (No. 2)
Unique sites:
Tl1 0.014 0.208 0.264 x2
H1 0.455 0.550 0.043 x2
Cl1 0.276 0.189 0.758 x2

Entry 11:
DFT (GGA-PBE) results for a relaxed structure of Ac2PrRuN4.

Output
**Formation energy (no corrections)**: -0.651 eV per atom

Unit cell a=3.600 b=12.531 c=12.816 alpha=90.00 beta=90.00 gamma=90.00
Space group Cmcm (No. 63)
Unique sites:
Ac1 0.000 0.133 0.043 x8
Pr1 0.000 0.378 0.250 x4
Ru1 0.000 0.343 0.750 x4
N1 0.000 0.084 0.250 x4
N2 0.000 0.220 0.643 x8
N3 0.000 0.500 0.000 x4

Entry 12:
DFT (GGA-PBE) results for a relaxed structure of La8GeAu3I4.

Output
**Formation energy (no corrections)**: -0.943 eV per atom

Unit cell a=8.9508 b=8.9508 c=23.2271 alpha=90.00 beta=90.00 gamma=120.00
Space group R-3m (No. 166, hexagonal axes)
Unique sites:
La1 0.0000 0.0000 0.2351 x6
La2 0.0036 0.5018 0.2376 x18
Ge1 0.0000 0.0000 0.5000 x3
Au1 0.0000 0.5000 0.5000 x9
I1 0.0000 0.0000 0.0000 x3
I2 0.0000 0.5000 0.0000 x9

Entry 13:
DFT (GGA-PBE) results for a relaxed structure of BaLi2Ca2.

Output
**Calculated formation energy**: 20 kJ/mol of formula units
**Excess energy over the best structure of this formula in the dataset**: 0.0 kJ/mol of atoms

Unit cell a=9.447 b=9.447 c=4.234 alpha=90.00 beta=90.00 gamma=90.00
Space group P4/mbm (No. 127)
Unique sites:
Ba1 0.000 0.000 0.000 x2
Li1 0.126 0.374 0.000 x4
Ca1 0.159 0.659 0.500 x4

Entry 14:
DFT (GGA-PBE) results for a relaxed structure of TbSm6Dy2Tm.

Output
**Calculated formation energy**: 114 kJ/mol of formula units

Unit cell a=9.167 b=15.208 c=9.586 alpha=90.00 beta=97.36 gamma=90.00
Space group C2/c (No. 15)
Unique sites:
Tb1 0.000 0.026 0.250 x4
Sm1 0.060 0.181 0.945 x8
Sm2 0.101 0.392 0.119 x8
Sm3 0.211 0.223 0.313 x8
Dy1 0.249 0.449 0.455 x8
Tm1 0.000 0.411 0.750 x4

Entry 15:
DFT (GGA-PBE) results for a relaxed structure of AcPH2Pd.

Output
**Total energy**: -4.763 eV/atom

Unit cell a=4.118 b=4.118 c=4.893 alpha=90.00 beta=90.00 gamma=90.00
Space group P4mm (No. 99)
Unique sites:
Ac1 0.000 0.000 0.000 x1
P1 0.500 0.500 0.885 x1
H1 0.000 0.500 0.390 x2
Pd1 0.500 0.500 0.394 x1

Entry 16:
DFT (GGA-PBE) results for a relaxed structure of KTiBr2.

Output
**Excess energy over the best structure of this formula in the dataset**: 0.0 kJ/mol of atoms
**Formation energy (no corrections)**: -0.728 eV per atom

Unit cell a=4.0004 b=4.0004 c=29.7292 alpha=90.00 beta=90.00 gamma=120.00
Space group R-3m (No. 166, hexagonal axes)
Unique sites:
K1 0.0000 0.0000 0.0000 x3
Ti1 0.0000 0.0000 0.5000 x3
Br1 0.0000 0.0000 0.1163 x6

Entry 17:
DFT (GGA-PBE) results for a relaxed structure of RbNbGe3.

Output
**Calculated formation energy**: 17 kJ/mol of formula units
**Excess energy over the best structure of this formula in the dataset**: 0.0 kJ/mol of atoms

Unit cell a=5.130 b=5.130 c=5.130 alpha=90.00 beta=90.00 gamma=90.00
Space group Pm-3m (No. 221)
Unique sites:
Rb1 0.000 0.000 0.000 x1
Nb1 0.500 0.500 0.500 x1
Ge1 0.000 0.500 0.500 x3

Entry 18:
DFT (GGA-PBE) results for a relaxed structure of HfB2Pt.

Output
**Calculated formation energy**: 53 kJ/mol of formula units
**Excess energy over the best structure of this formula in the dataset**: 21.3 kJ/mol of atoms

Unit cell a=5.799 b=5.799 c=5.799 alpha=90.00 beta=90.00 gamma=90.00
Space group Fm-3m (No. 225)
Unique sites:
Hf1 0.000 0.000 0.000 x4
B1 0.250 0.250 0.250 x8
Pt1 0.000 0.000 0.500 x4

Entry 19:
DFT (GGA-PBE) results for a relaxed structure of BaP2SBr.

Output
**Excess energy over the best structure of this formula in the dataset**: 0.0 kJ/mol of atoms
**Formation energy (no corrections)**: 0.289 eV per atom

Unit cell a=4.992 b=4.992 c=5.287 alpha=90.00 beta=90.00 gamma=90.00
Space group P4/mmm (No. 123)
Unique sites:
Ba1 0.000 0.000 0.000 x1
P1 0.000 0.500 0.500 x2
S1 0.500 0.500 0.000 x1
Br1 0.500 0.500 0.500 x1

Entry 20:
DFT (GGA-PBE) results for a relaxed structure of Ti2InPbCl.

Output
**Formation energy (no corrections)**: 0.872 eV per atom

Unit cell a=5.417 b=5.417 c=5.512 alpha=90.00 beta=90.00 gamma=90.00
Space group P4/mmm (No. 123)
Unique sites:
Ti1 0.000 0.500 0.000 x2
In1 0.000 0.000 0.500 x1
Pb1 0.500 0.500 0.000 x1
Cl1 0.500 0.500 0.500 x1